PrAlGaPt after structural relaxation, computed with PBE.

```
4
Lattice="2.133 1.231 5.364 -2.133 1.231 5.364 0.000 -2.463 5.364" Properties=species:S:1:pos:R:3 pbc="T T T"
Pr 0.000 0.000 0.000
Al 0.000 0.000 12.747
Ga 0.000 0.000 3.463
Pt 0.000 0.000 7.939
```

* crystal system: trigonal
* electronic total energy: -21.03 eV per cell
* SG: No. 160
* formation energy from the elements: -860 meV/atom